<1>
## Mg3TcBr (PBE-GGA)

Data for crystalline Mg3TcBr at its relaxed geometry.

Space group   Pm-3m (221)
N(E_F)   1.7252 states/eV per atom

Unit cell a=5.2733 b=5.2733 c=5.2733 alpha=90.00 beta=90.00 gamma=90.00
With the nearest neighbours (Å) after each atom.
Fractional coordinates of all 5 atoms:
1 Tc 0.0000 0.0000 0.0000  6 Mg 2.64
2 Mg 0.0000 0.5000 0.0000  2 Tc 2.64
3 Mg 0.5000 0.0000 0.0000  2 Tc 2.64
4 Mg 0.0000 0.0000 0.5000  2 Tc 2.64
5 Br 0.5000 0.5000 0.5000  12 Mg 3.73

***

<2>
## Mg3TcBr (PBE-GGA)

Data for crystalline Mg3TcBr at its relaxed geometry.

Space group   Pm-3m (221)
N(E_F)   1.1343 states/eV per atom

Unit cell a=4.9937 b=4.9937 c=4.9937 alpha=90.00 beta=90.00 gamma=90.00
With the nearest neighbours (Å) after each atom.
Fractional coordinates of all 5 atoms:
1 Br 0.0000 0.0000 0.0000  6 Mg 2.50
2 Tc 0.5000 0.5000 0.5000  12 Mg 3.53
3 Mg 0.0000 0.5000 0.0000  2 Br 2.50
4 Mg 0.5000 0.0000 0.0000  2 Br 2.50
5 Mg 0.0000 0.0000 0.5000  2 Br 2.50

***

<1> takes first place; second place is 0.294 eV/atom up.

***

<1>
## MgTcBr2 (PBE-GGA)

Data for crystalline MgTcBr2 at its relaxed geometry.

Space group   R-3m (166)
N(E_F)   0.6276 states/eV per atom

Unit cell a=9.7694 b=9.7694 c=9.7694 alpha=20.92 beta=20.92 gamma=20.92
With the nearest neighbours (Å) after each atom.
Fractional coordinates of all 4 atoms:
1 Mg 0.0000 0.0000 0.0000  2 Br 3.21, 6 Mg 3.55
2 Tc 0.5000 0.5000 0.5000  6 Br 2.58
3 Br 0.8881 0.8881 0.8881  3 Tc 2.58
4 Br 0.1119 0.1119 0.1119  3 Tc 2.58

***

<2>
## MgTcBr2 (PBE-GGA)

Data for crystalline MgTcBr2 at its relaxed geometry.

Space group   Cm (8)
N(E_F)   0.5277 states/eV per atom

Unit cell a=8.5227 b=8.5227 c=3.7850 alpha=101.92 beta=101.92 gamma=22.82
With the nearest neighbours (Å) after each atom.
Fractional coordinates of all 4 atoms:
1 Br 0.0052 0.0052 0.8695  1 Tc 2.60
2 Br 0.2351 0.2351 0.6215  2 Tc 2.48
3 Mg 0.4135 0.4135 0.2857  4 Tc 2.76, 4 Br 2.94-2.95
4 Tc 0.8461 0.8461 0.7232  3 Br 2.48-2.60, 4 Mg 2.76

***

<3>
## MgTcBr2 (PBE-GGA)

Data for crystalline MgTcBr2 at its relaxed geometry.

Space group   I-4m2 (119)
N(E_F)   0.7423 states/eV per atom

Unit cell a=6.6933 b=6.6933 c=6.6933 alpha=146.27 beta=146.27 gamma=48.44
With the nearest neighbours (Å) after each atom.
Fractional coordinates of all 4 atoms:
1 Mg 0.5000 0.5000 0.0000  4 Br 2.75
2 Tc 0.7500 0.2500 0.5000  4 Br 2.75
3 Br 0.0000 0.0000 0.0000  4 Mg 2.75
4 Br 0.2500 0.7500 0.5000  4 Tc 2.75

***

<4>
## MgTcBr2 (PBE-GGA)

Data for crystalline MgTcBr2 at its relaxed geometry.

Space group   P2/m (10)
N(E_F)   0.5380 states/eV per atom

Unit cell a=4.3387 b=3.4087 c=5.7567 alpha=92.25 beta=90.00 gamma=90.00
With the nearest neighbours (Å) after each atom.
Fractional coordinates of all 4 atoms:
1 Mg 0.5000 0.2500 0.2500  4 Br 2.82
2 Tc 0.5000 0.7500 0.7500  4 Br 2.64
3 Br 0.0000 0.9377 0.9901  2 Tc 2.64, 2 Mg 2.82
4 Br 0.0000 0.5623 0.5099  2 Tc 2.64, 2 Mg 2.82

***

<2> takes first place; second place is 0.372 eV/atom up.

***

<1>
## MgTcBr2 (PBE-GGA)

Data for crystalline MgTcBr2 at its relaxed geometry.

Space group   Fm-3m (225)
N(E_F)   0.6611 states/eV per atom

Unit cell a=4.8512 b=4.8512 c=4.8512 alpha=60.00 beta=60.00 gamma=60.00
With the nearest neighbours (Å) after each atom.
Fractional coordinates of all 4 atoms:
1 Br 0.2500 0.2500 0.2500  4 Tc 2.97, 4 Mg 2.97
2 Br 0.7500 0.7500 0.7500  4 Mg 2.97, 4 Tc 2.97
3 Tc 0.5000 0.5000 0.5000  8 Br 2.97
4 Mg 0.0000 0.0000 0.0000  8 Br 2.97

***

<2>
## MgTcBr2 (PBE-GGA)

Data for crystalline MgTcBr2 at its relaxed geometry.

Space group   Imm2 (44)
N(E_F)   0.5310 states/eV per atom

Unit cell a=6.3438 b=6.3438 c=6.3438 alpha=149.25 beta=108.66 gamma=79.66
With the nearest neighbours (Å) after each atom.
Fractional coordinates of all 4 atoms:
1 Br 0.9412 0.9412 0.0000  2 Tc 2.50
2 Br 0.3032 0.8032 0.5000  2 Mg 2.58
3 Tc 0.7517 0.2517 0.5000  2 Br 2.50
4 Mg 0.5039 0.5039 0.0000  2 Br 2.58

***

<2> takes first place; second place is 0.176 eV/atom up.

***

<1>
## MgTcBr2 (PBE-GGA)

Data for crystalline MgTcBr2 at its relaxed geometry.

Space group   P4mm (99)
N(E_F)   0.2474 states/eV per atom

Unit cell a=3.2214 b=3.2214 c=8.6950 alpha=90.00 beta=90.00 gamma=89.98
With the nearest neighbours (Å) after each atom.
Fractional coordinates of all 4 atoms:
1 Mg 0.0000 0.0000 0.5147  4 Br 2.79, 4 Tc 3.10
2 Br 0.0000 0.0000 0.8993  4 Tc 2.59
3 Br 0.5000 0.5000 0.3294  4 Mg 2.79
4 Tc 0.5000 0.5000 0.7566  4 Br 2.59

***

<2>
## MgTcBr2 (PBE-GGA)

Data for crystalline MgTcBr2 at its relaxed geometry.

Space group   P4/mmm (123)
N(E_F)   0.4874 states/eV per atom

Unit cell a=3.5159 b=3.5158 c=6.9211 alpha=90.00 beta=90.00 gamma=90.00
With the nearest neighbours (Å) after each atom.
Fractional coordinates of all 4 atoms:
1 Tc 0.5000 0.5000 0.7500  8 Br 3.02
2 Br 0.0000 0.0000 0.5021  4 Tc 3.02, 4 Mg 3.04
3 Br 0.0000 0.0000 0.9979  4 Tc 3.02, 4 Mg 3.04
4 Mg 0.5000 0.5000 0.2500  8 Br 3.04

***

<3>
## MgTcBr2 (PBE-GGA)

Data for crystalline MgTcBr2 at its relaxed geometry.

Space group   I-42d (122)
N(E_F)   0.6312 states/eV per atom

Unit cell a=5.7561 b=5.7561 c=7.3245 alpha=66.86 beta=66.86 gamma=90.00
With the nearest neighbours (Å) after each atom.
Fractional coordinates of all 8 atoms:
1 Br 0.8750 0.8865 0.7500  2 Tc 2.50, 2 Mg 2.58
2 Br 0.6365 0.1250 0.2500  2 Tc 2.50, 2 Mg 2.58
3 Br 0.3750 0.3635 0.7500  2 Tc 2.50, 2 Mg 2.58
4 Br 0.1135 0.6250 0.2500  2 Tc 2.50, 2 Mg 2.58
5 Tc 0.7500 0.2500 0.5000  4 Br 2.50
6 Tc 0.0000 0.0000 0.0000  4 Br 2.50
7 Mg 0.5000 0.5000 0.0000  4 Br 2.58
8 Mg 0.2500 0.7500 0.5000  4 Br 2.58

***

<4>
## MgTcBr2 (PBE-GGA)

Data for crystalline MgTcBr2 at its relaxed geometry.

Space group   Pm (6)
N(E_F)   0.4321 states/eV per atom

Unit cell a=3.3699 b=3.7748 c=8.1769 alpha=75.90 beta=90.00 gamma=90.00
With the nearest neighbours (Å) after each atom.
Fractional coordinates of all 4 atoms:
1 Br 0.0000 0.8464 0.9146  2 Tc 2.48
2 Br 0.5000 0.1421 0.3565  1 Tc 2.61
3 Tc 0.5000 0.9682 0.6853  3 Br 2.48-2.61, 4 Mg 2.77
4 Mg 0.0000 0.5433 0.5436  4 Tc 2.77, 4 Br 2.93

***

<4> takes first place; second place is 0.090 eV/atom up.

***

<1>
## MgTcBr2 (PBE-GGA)

Data for crystalline MgTcBr2 at its relaxed geometry.

Space group   F-43m (216)
N(E_F)   1.3019 states/eV per atom

Unit cell a=5.0880 b=5.0880 c=5.0880 alpha=60.00 beta=60.00 gamma=60.00
With the nearest neighbours (Å) after each atom.
Fractional coordinates of all 4 atoms:
1 Br 0.2500 0.2500 0.2500  4 Mg 3.12, 4 Br 3.12
2 Br 0.0000 0.0000 0.0000  4 Br 3.12, 4 Tc 3.12
3 Tc 0.7500 0.7500 0.7500  4 Br 3.12, 4 Mg 3.12
4 Mg 0.5000 0.5000 0.5000  4 Tc 3.12, 4 Br 3.12

***

<2>
## MgTcBr2 (PBE-GGA)

Data for crystalline MgTcBr2 at its relaxed geometry.

Space group   Cmmm (65)
N(E_F)   0.4783 states/eV per atom

Unit cell a=3.5782 b=3.5782 c=9.5503 alpha=90.00 beta=90.00 gamma=125.47
With the nearest neighbours (Å) after each atom.
Fractional coordinates of all 4 atoms:
1 Br 0.0000 0.0000 0.9594  2 Tc 2.59
2 Br 0.0000 0.0000 0.5406  2 Tc 2.59
3 Mg 0.5000 0.5000 0.2500  4 Br 3.22, 6 Mg 3.28-3.58
4 Tc 0.5000 0.5000 0.7500  4 Br 2.59

***

<2> takes first place; second place is 0.385 eV/atom up.

***

<1>
## MgTcBr2 (PBE-GGA)

Data for crystalline MgTcBr2 at its relaxed geometry.

Space group   Pmmm (47)
N(E_F)   0.6853 states/eV per atom

Unit cell a=3.3233 b=6.1017 c=4.3950 alpha=90.00 beta=90.00 gamma=90.00
With the nearest neighbours (Å) after each atom.
Fractional coordinates of all 4 atoms:
1 Br 0.5000 0.5000 0.0000  4 Tc 2.76
2 Br 0.0000 0.0000 0.0000  4 Mg 2.76
3 Tc 0.0000 0.5000 0.5000  4 Br 2.76
4 Mg 0.5000 0.0000 0.5000  4 Br 2.76

***

<2>
## MgTcBr2 (PBE-GGA)

Data for crystalline MgTcBr2 at its relaxed geometry.

Space group   C2/m (12)
N(E_F)   0.4613 states/eV per atom

Unit cell a=5.5620 b=5.5620 c=3.5411 alpha=69.89 beta=69.89 gamma=103.28
With the nearest neighbours (Å) after each atom.
Fractional coordinates of all 4 atoms:
1 Br 0.5000 0.5000 0.0000  2 Mg 2.74, 2 Tc 2.74
2 Br 0.0000 0.0000 0.0000  2 Tc 2.74, 2 Mg 2.74
3 Tc 0.0000 0.5000 0.5000  4 Br 2.74
4 Mg 0.5000 0.0000 0.5000  4 Br 2.74

***

<1> takes first place; second place is 0.015 eV/atom up.

***

<1>
## MgTcBr2 (PBE-GGA)

Data for crystalline MgTcBr2 at its relaxed geometry.

Space group   R-3m (166)
N(E_F)   0.6792 states/eV per atom

Unit cell a=11.1285 b=11.1285 c=11.1285 alpha=18.35 beta=18.35 gamma=18.35
With the nearest neighbours (Å) after each atom.
Fractional coordinates of all 4 atoms:
1 Tc 0.7500 0.7500 0.7500  6 Tc 3.55
2 Mg 0.2500 0.2500 0.2500  6 Br 2.62
3 Br 0.9662 0.9662 0.9662  3 Mg 2.62
4 Br 0.5338 0.5338 0.5338  3 Mg 2.62

***

<2>
## MgTcBr2 (PBE-GGA)

Data for crystalline MgTcBr2 at its relaxed geometry.

Space group   R-3m (166)
N(E_F)   0.8299 states/eV per atom

Unit cell a=8.7808 b=8.7808 c=8.7808 alpha=22.78 beta=22.78 gamma=22.78
With the nearest neighbours (Å) after each atom.
Fractional coordinates of all 4 atoms:
1 Br 0.9006 0.9006 0.9006  1 Tc 2.55, 3 Mg 2.64
2 Br 0.0994 0.0994 0.0994  1 Tc 2.55, 3 Mg 2.64
3 Mg 0.5000 0.5000 0.5000  6 Br 2.64
4 Tc 0.0000 0.0000 0.0000  2 Br 2.55

***

<3>
## MgTcBr2 (PBE-GGA)

Data for crystalline MgTcBr2 at its relaxed geometry.

Space group   C2/m (12)
N(E_F)   0.2689 states/eV per atom

Unit cell a=7.7926 b=7.7926 c=4.3737 alpha=73.93 beta=73.93 gamma=24.88
With the nearest neighbours (Å) after each atom.
Fractional coordinates of all 4 atoms:
1 Br 0.1150 0.1150 0.8826  2 Tc 2.59
2 Br 0.3850 0.3850 0.6174  2 Tc 2.59
3 Mg 0.2500 0.2500 0.2500  4 Tc 2.76, 4 Br 2.94-2.95
4 Tc 0.7500 0.7500 0.7500  4 Br 2.59, 4 Mg 2.76

***

<3> takes first place; second place is 0.280 eV/atom up.

***

<1>
## MgTc3Br (PBE-GGA)

Data for crystalline MgTc3Br at its relaxed geometry.

Space group   Pm-3m (221)
N(E_F)   1.4219 states/eV per atom

Unit cell a=4.9302 b=4.9302 c=4.9302 alpha=90.00 beta=90.00 gamma=90.00
With the nearest neighbours (Å) after each atom.
Fractional coordinates of all 5 atoms:
1 Tc 0.0000 0.0000 0.5000  2 Mg 2.47
2 Tc 0.0000 0.5000 0.0000  2 Mg 2.47
3 Tc 0.5000 0.0000 0.0000  2 Mg 2.47
4 Mg 0.0000 0.0000 0.0000  6 Tc 2.47
5 Br 0.5000 0.5000 0.5000  12 Tc 3.49

***

<2>
## MgTc3Br (PBE-GGA)

Data for crystalline MgTc3Br at its relaxed geometry.

Space group   Pm-3m (221)
N(E_F)   0.8374 states/eV per atom

Unit cell a=4.5764 b=4.5764 c=4.5764 alpha=90.00 beta=90.00 gamma=90.00
With the nearest neighbours (Å) after each atom.
Fractional coordinates of all 5 atoms:
1 Mg 0.5000 0.5000 0.5000  12 Tc 3.24
2 Tc 0.0000 0.5000 0.0000  2 Br 2.29
3 Tc 0.0000 0.0000 0.5000  2 Br 2.29
4 Tc 0.5000 0.0000 0.0000  2 Br 2.29
5 Br 0.0000 0.0000 0.0000  6 Tc 2.29

***

<2> takes first place; second place is 0.903 eV/atom up.